Density functional theory data (PBEsol) for an optimized crystal structure of Ca2ReRh.

abc: 2.887 5.182 5.182
angles: 90.00 90.00 90.00
Atoms (fractional coordinates):
Ca: 0.000 0.000 0.500
Ca: 0.000 0.500 0.000
Rh: 0.500 0.000 0.000
Re: 0.500 0.500 0.500

Computed properties:
The formation energy comes out at 0.6542 eV per atom. The space group is P4/mmm. The spin magnetization comes out at 0.00 Bohr magnetons per cell. The raw total energy comes out at -23.12 eV/cell.

=====

Density functional theory data (PBEsol) for an optimized crystal structure of CaPBr.

abc: 4.875 4.875 4.875
angles: 60.00 60.00 60.00
Site moments in Bohr magnetons follow the coordinates.
Atoms (fractional coordinates):
Br: 0.500 0.500 0.500  0.20
P: 0.000 0.000 0.000  0.58
Ca: 0.750 0.750 0.750  0.07

Computed properties:
The space group is F-43m. The spin magnetization comes out at 1.69 Bohr magnetons per cell. The raw total energy comes out at -11.15 eV/cell. Its raw formation energy is -0.45 eV per atom. For the energy above the most stable polymorph in this dataset, the calculation gives 50 meV per atom.

=====

Density functional theory data (PBEsol) for an optimized crystal structure of TlFeAs.

abc: 2.932 2.932 6.475
angles: 103.09 103.09 90.00
Atoms (fractional coordinates):
Tl: 0.312 0.312 0.623
Fe: 0.643 0.643 0.286
As: 0.045 0.045 0.090

Computed properties:
The formation energy comes out at 0.2222 eV per atom. The space group is I4mm. The spin magnetization comes out at 0.00 Bohr magnetons per cell. The raw total energy comes out at -16.03 eV/cell.

=====

Density functional theory data (PBEsol) for an optimized crystal structure of BaRu3N.

abc: 4.971 4.971 4.971
angles: 90.00 90.00 90.00
Site moments in Bohr magnetons follow the coordinates.
Atoms (fractional coordinates):
Ru: 0.500 0.000 0.000  1.64
Ru: 0.000 0.000 0.500  1.64
Ru: 0.000 0.500 0.000  1.64
N: 0.500 0.500 0.500  1.45
Ba: 0.000 0.000 0.000  -0.08

Computed properties:
The space group is Pm-3m. The spin magnetization comes out at 6.97 Bohr magnetons per cell. The raw total energy comes out at -21.51 eV/cell. Its raw formation energy is 3.94 eV per atom. For the energy above the most stable polymorph in this dataset, the calculation gives 3306 meV per atom.

=====

Density functional theory data (PBEsol) for an optimized crystal structure of Ca2FeTeC.

abc: 4.602 5.750 5.750
angles: 90.00 90.00 90.00
Site moments in Bohr magnetons follow the coordinates.
Atoms (fractional coordinates):
Ca: 0.000 0.000 0.500  -0.01
Ca: 0.000 0.500 0.000  -0.01
Fe: 0.500 0.000 0.000  2.44
C: 0.500 0.500 0.500  0.76
Te: 0.000 0.000 0.000  0.02

Computed properties:
The space group is P4/mmm. The spin magnetization comes out at 4.01 Bohr magnetons per cell. The raw total energy comes out at -19.96 eV/cell. Its raw formation energy is 1.29 eV per atom.

=====

Density functional theory data (PBEsol) for an optimized crystal structure of LiCuPt4.

abc: 5.155 5.155 5.155
angles: 60.00 60.00 60.00
Atoms (fractional coordinates):
Pt: 0.375 0.375 0.875
Pt: 0.875 0.375 0.375
Li: 0.000 0.000 0.000
Pt: 0.375 0.375 0.375
Pt: 0.375 0.875 0.375
Cu: 0.750 0.750 0.750

Computed properties:
The formation energy comes out at -0.0400 eV per atom. The space group is F-43m. The spin magnetization comes out at 0.00 Bohr magnetons per cell. The raw total energy comes out at -34.40 eV/cell.

=====

Which value of spin magnetization does entry 3 give?
0.00 Bohr magnetons per cell

=====

Which of these has the lowest raw total energy?
LiCuPt4

=====

Which of these has the highest spin magnetization?
BaRu3N